DFT (GGA-PBE) results for a relaxed BeBrN2O crystal.

E_form (uncorrected) = 2.19 eV/atom

Cell: 3.8174 3.8174 3.8386 Å, 90.00 90.00 90.00°
With the nearest neighbours (Å) after each atom.
Atoms (fractional coordinates):
Be1 0.0000 0.0000 0.0000  4 O 2.70, 8 N 2.71
Br1 0.5000 0.5000 0.5000  4 N 1.91, 2 O 1.92
N1 0.0000 0.5000 0.5000  2 Br 1.91
N2 0.5000 0.0000 0.5000  2 Br 1.91
O1 0.5000 0.5000 0.0000  2 Br 1.92